This record from OQMD via LeMat-Bulk describes a geometry-optimized PrTePO structure. The functional is PBE.

The magnetic moment comes out at 0.000 μB/atom. The value obtained for the total energy is -5.706 eV/atom. For the excess energy over the best structure of this formula in the dataset, the calculation gives 100 meV/atom.

Cell and atoms, written as extended XYZ:
```
8
Lattice="4.935 0.000 0.000 0.000 4.935 0.000 0.000 0.000 6.861" Properties=species:S:1:pos:R:3 pbc="T T T"
Pr 1.234 1.234 0.621
Pr 3.701 3.701 6.240
Te 1.234 3.701 3.431
Te 3.701 1.234 3.431
P 1.234 1.234 4.365
P 3.701 3.701 2.496
O 1.234 3.701 0.000
O 3.701 1.234 0.000
```